# PBE LiCa2In6, optimized geometry
# Magnetic moment (μB/cell): 0.00
# Formation energy (eV per atom): -0.279
data_LiCa2In6
_chemical_formula_sum 'Li1 Ca2 In6'
_cell_length_a 8.7887
_cell_length_b 8.7887
_cell_length_c 3.5427
_cell_angle_alpha 90.00
_cell_angle_beta 90.00
_cell_angle_gamma 120.00
_symmetry_space_group_name_H-M 'P 6/m m m'
_symmetry_Int_Tables_number 191
_symmetry_space_group_name_Hall '-P 6 2'
loop_
_atom_site_label
_atom_site_fract_x
_atom_site_fract_y
_atom_site_fract_z
Li1 0.0000 0.0000 0.0000
Ca1 0.3333 0.6667 0.0000
In1 0.0000 0.3296 0.5000

---

# PBE TbYCuHg, optimized geometry
# Magnetic moment (μB/cell): 0.00
# Formation energy (eV per atom): -0.336
data_TbYCuHg
_chemical_formula_sum 'Tb4 Y4 Cu4 Hg4'
_cell_length_a 7.250
_cell_length_b 7.250
_cell_length_c 7.250
_cell_angle_alpha 90.00
_cell_angle_beta 90.00
_cell_angle_gamma 90.00
_symmetry_space_group_name_H-M 'F -4 3 m'
_symmetry_Int_Tables_number 216
_symmetry_space_group_name_Hall 'F -4 2 3'
loop_
_atom_site_label
_atom_site_fract_x
_atom_site_fract_y
_atom_site_fract_z
Tb1 0.000 0.000 0.000
Y1 0.000 0.000 0.500
Cu1 0.250 0.250 0.750
Hg1 0.250 0.250 0.250